## BaIn2Ir (PBE)

Data for a relaxed BaIn2Ir crystal.

a b c (Å): 5.2629 5.9883 8.6441
angles (deg): 90.00 90.00 90.00
Sites, in units of the cell vectors:
Ba 0.0000 0.0000 0.0000
Ba 0.5000 0.5000 0.5000
In 0.0000 0.0000 0.5735
In 0.0000 0.5000 0.7741
In 0.5000 0.0000 0.2741
In 0.5000 0.5000 0.0735
Ir 0.0000 0.5000 0.0720
Ir 0.5000 0.0000 0.5720

Computed properties:
Total DFT energy (no corrections) in eV/atom: -4.08
V in Å³ per cell: 272